Version A
# Cs2LaH2 | Alexandria | PBE-GGA | relaxed
data_Cs2LaH2
_symmetry_space_group_name_H-M 'P 1'
_symmetry_Int_Tables_number 1
_cell_length_a 4.213
_cell_length_b 4.214
_cell_length_c 11.857
_cell_angle_alpha 89.76
_cell_angle_beta 80.22
_cell_angle_gamma 60.03
loop_
_symmetry_equiv_pos_as_xyz
'x,y,z'
loop_
_atom_site_label
_atom_site_fract_x
_atom_site_fract_y
_atom_site_fract_z
Cs1 0.000 0.000 0.000
Cs2 0.375 0.820 0.399
La1 0.524 0.244 0.694
H1 0.166 0.923 0.733
H2 0.902 0.556 0.623
# DOS at the Fermi energy	1.8	states/eV/cell
# V	35.78	A^3/atom
# M_tot	0.1993	μB per atom

---

Version B
# Cs2LaH2 | Alexandria | PBE-GGA | relaxed
data_Cs2LaH2
_symmetry_space_group_name_H-M 'A m m 2'
_symmetry_Int_Tables_number 38
_cell_length_a 3.969
_cell_length_b 7.454
_cell_length_c 13.501
_cell_angle_alpha 90.00
_cell_angle_beta 90.00
_cell_angle_gamma 90.00
loop_
_symmetry_equiv_pos_as_xyz
'x,y,z'
'-x,-y,z'
'-x,y,z'
'x,-y,z'
'x,y+1/2,z+1/2'
'-x,-y+1/2,z+1/2'
'-x,y+1/2,z+1/2'
'x,-y+1/2,z+1/2'
loop_
_atom_site_label
_atom_site_fract_x
_atom_site_fract_y
_atom_site_fract_z
Cs1 0.000 0.000 0.000
Cs2 0.000 0.000 0.359
La1 0.500 0.000 0.725
H1 0.500 0.183 0.859
# DOS at the Fermi energy	7.4	states/eV/cell
# V	39.94	A^3/atom
# M_tot	0.2737	μB per atom

---

Of them, the most stable is version A and the least stable is version B.

---

Version A
# CsLaHRh | Alexandria | PBE-GGA | relaxed
data_CsLaHRh
_symmetry_space_group_name_H-M 'A m m 2'
_symmetry_Int_Tables_number 38
_cell_length_a 3.595
_cell_length_b 3.896
_cell_length_c 15.192
_cell_angle_alpha 90.00
_cell_angle_beta 90.00
_cell_angle_gamma 90.00
loop_
_symmetry_equiv_pos_as_xyz
'x,y,z'
'-x,-y,z'
'-x,y,z'
'x,-y,z'
'x,y+1/2,z+1/2'
'-x,-y+1/2,z+1/2'
'-x,y+1/2,z+1/2'
'x,-y+1/2,z+1/2'
loop_
_atom_site_label
_atom_site_fract_x
_atom_site_fract_y
_atom_site_fract_z
Cs1 0.000 0.000 0.000
La1 0.000 0.000 0.262
H1 0.500 0.000 0.386
Rh1 0.500 0.000 0.688
# DOS at the Fermi energy	1.7	states/eV/cell
# V	26.60	A^3/atom
# M_tot	0.0000	μB per atom

---

Version B
# CsLaHRh | Alexandria | PBE-GGA | relaxed
data_CsLaHRh
_symmetry_space_group_name_H-M 'C 1 m 1'
_symmetry_Int_Tables_number 8
_cell_length_a 5.582
_cell_length_b 5.580
_cell_length_c 7.527
_cell_angle_alpha 90.00
_cell_angle_beta 90.72
_cell_angle_gamma 90.00
loop_
_symmetry_equiv_pos_as_xyz
'x,y,z'
'x,-y,z'
'x+1/2,y+1/2,z'
'x+1/2,-y+1/2,z'
loop_
_atom_site_label
_atom_site_fract_x
_atom_site_fract_y
_atom_site_fract_z
Cs1 0.000 0.000 0.000
La1 0.492 0.000 0.542
H1 0.498 0.000 0.857
Rh1 0.490 0.500 0.463
# DOS at the Fermi energy	1.4	states/eV/cell
# V	29.31	A^3/atom
# M_tot	0.0000	μB per atom

---

Of them, the most stable is version B and the least stable is version A.

---

Version A
# CsLaHRh | Alexandria | PBE-GGA | relaxed
data_CsLaHRh
_symmetry_space_group_name_H-M 'P 1'
_symmetry_Int_Tables_number 1
_cell_length_a 3.872
_cell_length_b 3.873
_cell_length_c 8.041
_cell_angle_alpha 103.63
_cell_angle_beta 103.24
_cell_angle_gamma 90.01
loop_
_symmetry_equiv_pos_as_xyz
'x,y,z'
loop_
_atom_site_label
_atom_site_fract_x
_atom_site_fract_y
_atom_site_fract_z
Cs1 0.000 0.000 0.000
La1 0.275 0.267 0.524
H1 0.422 0.419 0.835
Rh1 0.723 0.715 0.419
# DOS at the Fermi energy	0.9	states/eV/cell
# V	28.47	A^3/atom
# M_tot	0.0000	μB per atom

---

Version B
# CsLaHRh | Alexandria | PBE-GGA | relaxed
data_CsLaHRh
_symmetry_space_group_name_H-M 'P 3 m 1'
_symmetry_Int_Tables_number 156
_cell_length_a 4.5674
_cell_length_b 4.5674
_cell_length_c 7.2359
_cell_angle_alpha 90.00
_cell_angle_beta 90.00
_cell_angle_gamma 120.00
loop_
_symmetry_equiv_pos_as_xyz
'x,y,z'
'-y,x-y,z'
'-x+y,-x,z'
'-y,-x,z'
'-x+y,y,z'
'x,x-y,z'
loop_
_atom_site_label
_atom_site_fract_x
_atom_site_fract_y
_atom_site_fract_z
Cs1 0.0000 0.0000 0.0000
La1 0.6667 0.3333 0.4946
H1 0.3333 0.6667 0.2083
Rh1 0.3333 0.6667 0.4409
# DOS at the Fermi energy	0.8	states/eV/cell
# V	32.68	A^3/atom
# M_tot	0.0000	μB per atom

---

Of them, the most stable is version B and the least stable is version A.

---

Version A
# CsLaHRh | Alexandria | PBE-GGA | relaxed
data_CsLaHRh
_symmetry_space_group_name_H-M 'P 1'
_symmetry_Int_Tables_number 1
_cell_length_a 3.919
_cell_length_b 3.922
_cell_length_c 7.995
_cell_angle_alpha 104.12
_cell_angle_beta 103.94
_cell_angle_gamma 90.01
loop_
_symmetry_equiv_pos_as_xyz
'x,y,z'
loop_
_atom_site_label
_atom_site_fract_x
_atom_site_fract_y
_atom_site_fract_z
Cs1 0.000 0.000 0.000
La1 0.239 0.242 0.486
H1 0.595 0.596 0.192
Rh1 0.705 0.707 0.417
# DOS at the Fermi energy	1.8	states/eV/cell
# V	28.86	A^3/atom
# M_tot	0.0000	μB per atom

---

Version B
# CsLaHRh | Alexandria | PBE-GGA | relaxed
data_CsLaHRh
_symmetry_space_group_name_H-M 'P 1'
_symmetry_Int_Tables_number 1
_cell_length_a 3.902
_cell_length_b 3.923
_cell_length_c 7.808
_cell_angle_alpha 89.07
_cell_angle_beta 75.82
_cell_angle_gamma 90.00
loop_
_symmetry_equiv_pos_as_xyz
'x,y,z'
loop_
_atom_site_label
_atom_site_fract_x
_atom_site_fract_y
_atom_site_fract_z
Cs1 0.000 0.000 0.000
La1 0.272 0.485 0.466
H1 0.425 0.496 0.154
Rh1 0.727 0.980 0.558
# DOS at the Fermi energy	0.9	states/eV/cell
# V	28.97	A^3/atom
# M_tot	0.0000	μB per atom

---

Version C
# CsLaHRh | Alexandria | PBE-GGA | relaxed
data_CsLaHRh
_symmetry_space_group_name_H-M 'I m m 2'
_symmetry_Int_Tables_number 44
_cell_length_a 3.724
_cell_length_b 3.892
_cell_length_c 16.568
_cell_angle_alpha 90.00
_cell_angle_beta 90.00
_cell_angle_gamma 90.00
loop_
_symmetry_equiv_pos_as_xyz
'x,y,z'
'-x,-y,z'
'-x,y,z'
'x,-y,z'
'x+1/2,y+1/2,z+1/2'
'-x+1/2,-y+1/2,z+1/2'
'-x+1/2,y+1/2,z+1/2'
'x+1/2,-y+1/2,z+1/2'
loop_
_atom_site_label
_atom_site_fract_x
_atom_site_fract_y
_atom_site_fract_z
Cs1 0.000 0.000 0.000
La1 0.000 0.000 0.237
H1 0.000 0.500 0.146
Rh1 0.000 0.000 0.663
# DOS at the Fermi energy	4.4	states/eV/cell
# V	30.02	A^3/atom
# M_tot	0.0000	μB per atom

---

Of them, the most stable is version A and the least stable is version C.

---

Version A
# CsLaTeHRh | Alexandria | PBE-GGA | relaxed
data_CsLaTeHRh
_symmetry_space_group_name_H-M 'P 1'
_symmetry_Int_Tables_number 1
_cell_length_a 4.097
_cell_length_b 4.106
_cell_length_c 8.389
_cell_angle_alpha 85.91
_cell_angle_beta 86.37
_cell_angle_gamma 88.57
loop_
_symmetry_equiv_pos_as_xyz
'x,y,z'
loop_
_atom_site_label
_atom_site_fract_x
_atom_site_fract_y
_atom_site_fract_z
Cs1 0.000 0.000 0.000
La1 0.942 0.933 0.527
Te1 0.454 0.447 0.319
H1 0.515 0.517 0.838
Rh1 0.502 0.501 0.641
# V	28.09	A^3/atom
# M_tot	0.0000	μB per atom

---

Version B
# CsLaTeHRh | Alexandria | PBE-GGA | relaxed
data_CsLaTeHRh
_symmetry_space_group_name_H-M 'P 1'
_symmetry_Int_Tables_number 1
_cell_length_a 4.646
_cell_length_b 4.668
_cell_length_c 9.014
_cell_angle_alpha 75.79
_cell_angle_beta 75.33
_cell_angle_gamma 60.28
loop_
_symmetry_equiv_pos_as_xyz
'x,y,z'
loop_
_atom_site_label
_atom_site_fract_x
_atom_site_fract_y
_atom_site_fract_z
Cs1 0.000 0.000 0.000
La1 0.843 0.834 0.475
Te1 0.437 0.428 0.694
H1 0.606 0.607 0.183
Rh1 0.543 0.541 0.375
# V	32.51	A^3/atom
# M_tot	0.0000	μB per atom

---

Version C
# CsLaTeHRh | Alexandria | PBE-GGA | relaxed
data_CsLaTeHRh
_symmetry_space_group_name_H-M 'R 3 m'
_symmetry_Int_Tables_number 160
_symmetry_space_group_name_Hall 'R 3 -2"'
_cell_length_a 4.6796
_cell_length_b 4.6796
_cell_length_c 25.5023
_cell_angle_alpha 90.00
_cell_angle_beta 90.00
_cell_angle_gamma 120.00
loop_
_atom_site_label
_atom_site_fract_x
_atom_site_fract_y
_atom_site_fract_z
Cs1 0.0000 0.0000 0.0000
La1 0.0000 0.0000 0.8180
Te1 0.0000 0.0000 0.5587
H1 0.0000 0.0000 0.3863
Rh1 0.0000 0.0000 0.4509
# V	32.24	A^3/atom
# M_tot	0.0000	μB per atom

---

Of them, the most stable is version A and the least stable is version B.

---

Version A
# CsLiH | Alexandria | PBE-GGA | relaxed
data_CsLiH
_symmetry_space_group_name_H-M 'C 1 m 1'
_symmetry_Int_Tables_number 8
_cell_length_a 11.886
_cell_length_b 4.459
_cell_length_c 7.214
_cell_angle_alpha 90.00
_cell_angle_beta 105.89
_cell_angle_gamma 90.00
loop_
_symmetry_equiv_pos_as_xyz
'x,y,z'
'x,-y,z'
'x+1/2,y+1/2,z'
'x+1/2,-y+1/2,z'
loop_
_atom_site_label
_atom_site_fract_x
_atom_site_fract_y
_atom_site_fract_z
Cs1 0.000 0.000 0.000
Cs2 0.194 0.000 0.641
Li1 0.243 0.500 0.265
Li2 0.461 0.000 0.421
H1 0.013 0.500 0.691
H2 0.100 0.500 0.328
# DOS at the Fermi energy	1.0	states/eV/cell
# V	30.64	A^3/atom
# M_tot	0.0037	μB per atom

---

Version B
# CsLiH | Alexandria | PBE-GGA | relaxed
data_CsLiH
_symmetry_space_group_name_H-M 'P 1 2/m 1'
_symmetry_Int_Tables_number 10
_cell_length_a 5.656
_cell_length_b 6.088
_cell_length_c 5.703
_cell_angle_alpha 90.00
_cell_angle_beta 97.88
_cell_angle_gamma 90.00
loop_
_symmetry_equiv_pos_as_xyz
'x,y,z'
'-x,-y,-z'
'-x,y,-z'
'x,-y,z'
loop_
_atom_site_label
_atom_site_fract_x
_atom_site_fract_y
_atom_site_fract_z
Cs1 0.000 0.000 0.000
Cs2 0.500 0.000 0.500
Li1 0.165 0.500 0.671
H1 0.000 0.268 0.500
# DOS at the Fermi energy	2.8	states/eV/cell
# V	32.42	A^3/atom
# M_tot	0.0000	μB per atom

---

Version C
# CsLiH | Alexandria | PBE-GGA | relaxed
data_CsLiH
_symmetry_space_group_name_H-M 'C 1 m 1'
_symmetry_Int_Tables_number 8
_cell_length_a 15.230
_cell_length_b 4.729
_cell_length_c 5.854
_cell_angle_alpha 90.00
_cell_angle_beta 98.03
_cell_angle_gamma 90.00
loop_
_symmetry_equiv_pos_as_xyz
'x,y,z'
'x,-y,z'
'x+1/2,y+1/2,z'
'x+1/2,-y+1/2,z'
loop_
_atom_site_label
_atom_site_fract_x
_atom_site_fract_y
_atom_site_fract_z
Cs1 0.000 0.000 0.000
Cs2 0.203 0.500 0.518
Li1 0.302 0.000 0.049
Li2 0.398 0.000 0.530
H1 0.199 0.000 0.159
H2 0.336 0.000 0.769
# DOS at the Fermi energy	1.7	states/eV/cell
# V	34.79	A^3/atom
# M_tot	0.0000	μB per atom

---

Of them, the most stable is version A and the least stable is version B.